[1]
Compound: MnTl2Re
Source: Alexandria via LeMat-Bulk
Functional: GGA-PBE
Structure: optimized geometry

Lattice parameters (Å, degrees): 3.0974 3.0974 27.6918 90.00 90.00 120.00
Space group R-3m (No. 166, hexagonal axes)
Inequivalent atoms, fractional coordinates:
Mn  0.0000  0.0000  0.0000
Tl  0.0000  0.0000  0.2502
Re  0.0000  0.0000  0.5000

Total moment: 10.0 Bohr magnetons per cell
E: -68.21 eV for the cell shown
Formation energy from the elements: 0.903 eV per atom
DOS(E_F): 4.1 states/eV/f.u.
Crystal system: trigonal

***

[2]
Compound: MnTl2Re
Source: Alexandria via LeMat-Bulk
Functional: GGA-PBE
Structure: optimized geometry

Lattice parameters (Å, degrees): 3.524 3.524 6.126 90.00 90.00 90.00
Space group P4/mmm (No. 123)
Inequivalent atoms, fractional coordinates:
Mn  0.000  0.000  0.000
Tl  0.500  0.500  0.252
Re  0.000  0.000  0.500

Total moment: 4.4 Bohr magnetons per cell
E: -22.46 eV for the cell shown
Formation energy from the elements: 0.971 eV per atom
DOS(E_F): 3.8 states/eV/f.u.
Crystal system: tetragonal

***

[3]
Compound: MnTlRe
Source: Alexandria via LeMat-Bulk
Functional: GGA-PBE
Structure: optimized geometry

Lattice parameters (Å, degrees): 2.913 2.913 11.657 90.00 90.00 90.00
Space group I4mm (No. 107)
Inequivalent atoms, fractional coordinates:
Mn  0.000  0.000  0.000
Tl  0.000  0.000  0.316
Re  0.000  0.000  0.616

Total moment: 0.6 Bohr magnetons per cell
E: -44.48 eV for the cell shown
Formation energy from the elements: 0.581 eV per atom
DOS(E_F): 2.5 states/eV/f.u.
Crystal system: tetragonal

***

[4]
Compound: MnTl2Re
Source: Alexandria via LeMat-Bulk
Functional: GGA-PBE
Structure: optimized geometry

Lattice parameters (Å, degrees): 3.021 3.021 8.794 90.00 90.00 90.00
Space group P4mm (No. 99)
Inequivalent atoms, fractional coordinates:
Mn  0.000  0.000  0.000
Tl  0.000  0.000  0.402
Tl  0.500  0.500  0.751
Re  0.500  0.500  0.138

Total moment: 0.7 Bohr magnetons per cell
E: -24.27 eV for the cell shown
Formation energy from the elements: 0.521 eV per atom
DOS(E_F): 2.4 states/eV/f.u.
Crystal system: tetragonal

***

[5]
Compound: Mn2TlRe
Source: Alexandria via LeMat-Bulk
Functional: GGA-PBE
Structure: optimized geometry

Lattice parameters (Å, degrees): 2.910 2.910 7.592 90.00 90.00 90.00
Space group P4mm (No. 99)
Inequivalent atoms, fractional coordinates:
Mn  0.000  0.000  0.000
Mn  0.500  0.500  0.219
Tl  0.500  0.500  0.704
Re  0.000  0.000  0.398

Total moment: 3.8 Bohr magnetons per cell
E: -31.27 eV for the cell shown
Formation energy from the elements: 0.472 eV per atom
DOS(E_F): 2.4 states/eV/f.u.
Crystal system: tetragonal

***

[6]
Compound: MnTlRe2
Source: Alexandria via LeMat-Bulk
Functional: GGA-PBE
Structure: optimized geometry

Lattice parameters (Å, degrees): 3.108 4.747 9.142 90.00 90.00 90.00
Space group Cmm2 (No. 35)
Inequivalent atoms, fractional coordinates:
Mn  0.000  0.000  0.000
Tl  0.000  0.500  0.733
Re  0.000  0.000  0.449
Re  0.000  0.500  0.220

Total moment: 6.1 Bohr magnetons per cell
E: -67.73 eV for the cell shown
Formation energy from the elements: 0.642 eV per atom
DOS(E_F): 3.4 states/eV/f.u.
Crystal system: orthorhombic

***

[7]
Compound: MnTlRe2
Source: Alexandria via LeMat-Bulk
Functional: GGA-PBE
Structure: optimized geometry

Lattice parameters (Å, degrees): 3.888 3.888 8.407 90.00 90.00 90.00
Space group I4/mmm (No. 139)
Inequivalent atoms, fractional coordinates:
Mn  0.000  0.000  0.000
Tl  0.000  0.000  0.500
Re  0.000  0.500  0.250

Total moment: 3.1 Bohr magnetons per cell
E: -66.86 eV for the cell shown
Formation energy from the elements: 0.750 eV per atom
DOS(E_F): 2.9 states/eV/f.u.
Crystal system: tetragonal

***

[8]
Compound: MnTlRe2
Source: Alexandria via LeMat-Bulk
Functional: GGA-PBE
Structure: optimized geometry

Lattice parameters (Å, degrees): 9.154 3.010 4.907 90.00 101.86 90.00
Space group Cm (No. 8)
Inequivalent atoms, fractional coordinates:
Mn  0.000  0.000  0.000
Tl  0.260  0.500  0.257
Re  0.022  0.500  0.579
Re  0.258  0.000  0.754

Total moment: 5.2 Bohr magnetons per cell
E: -67.42 eV for the cell shown
Formation energy from the elements: 0.680 eV per atom
DOS(E_F): 3.4 states/eV/f.u.
Crystal system: monoclinic

***

[9]
Compound: MnTl2Re
Source: Alexandria via LeMat-Bulk
Functional: GGA-PBE
Structure: optimized geometry

Lattice parameters (Å, degrees): 3.021 4.802 5.375 90.00 90.34 90.00
Space group P2/m (No. 10)
Inequivalent atoms, fractional coordinates:
Mn  0.000  0.000  0.000
Tl  0.246  0.500  0.751
Re  0.500  0.000  0.500

Total moment: 3.4 Bohr magnetons per cell
E: -22.57 eV for the cell shown
Formation energy from the elements: 0.944 eV per atom
DOS(E_F): 3.1 states/eV/f.u.
Crystal system: monoclinic

***

[10]
Compound: MnTlZn2Re
Source: Alexandria via LeMat-Bulk
Functional: GGA-PBE
Structure: optimized geometry

Lattice parameters (Å, degrees): 4.617 4.617 4.950 90.00 90.00 90.00
Space group P4/mmm (No. 123)
Inequivalent atoms, fractional coordinates:
Mn  0.000  0.000  0.000
Tl  0.000  0.000  0.500
Zn  0.000  0.500  0.000
Re  0.500  0.500  0.500

Total moment: 5.8 Bohr magnetons per cell
E: -19.09 eV for the cell shown
Formation energy from the elements: 1.489 eV per atom
DOS(E_F): 4.2 states/eV/f.u.
Crystal system: tetragonal

***

[11]
Compound: Tm2Mn16Re
Source: Alexandria via LeMat-Bulk
Functional: GGA-PBE
Structure: optimized geometry

Lattice parameters (Å, degrees): 8.6343 8.6343 11.7021 90.00 90.00 120.00
Space group R3m (No. 160, hexagonal axes)
Inequivalent atoms, fractional coordinates:
Tm  0.0000  0.0000  0.0000
Tm  0.0000  0.0000  0.2890
Mn  0.0000  0.0000  0.5393
Mn  0.0094  0.5047  0.5086
Mn  0.0551  0.3877  0.3087
Mn  0.1671  0.3343  0.4773
Mn  0.1732  0.3463  0.1139
Re  0.0000  0.0000  0.7433

Total moment: 15.8 Bohr magnetons per cell
E: -505.25 eV for the cell shown
Formation energy from the elements: -0.016 eV per atom
DOS(E_F): 20.4 states/eV/f.u.
Crystal system: trigonal

***

[12]
Compound: TmMnRe
Source: Alexandria via LeMat-Bulk
Functional: GGA-PBE
Structure: optimized geometry

Lattice parameters (Å, degrees): 4.427 14.838 3.110 90.00 90.00 90.00
Space group Cmcm (No. 63)
Inequivalent atoms, fractional coordinates:
Tm  0.000  0.100  0.250
Mn  0.000  0.447  0.250
Re  0.000  0.284  0.250

Total moment: 0.7 Bohr magnetons per cell
E: -101.96 eV for the cell shown
Formation energy from the elements: 0.200 eV per atom
DOS(E_F): 2.2 states/eV/f.u.
Crystal system: orthorhombic

***

[13]
Compound: TmMnRe
Source: Alexandria via LeMat-Bulk
Functional: GGA-PBE
Structure: optimized geometry

Lattice parameters (Å, degrees): 8.499 5.201 9.256 90.00 90.00 90.00
Space group Amm2 (No. 38)
Inequivalent atoms, fractional coordinates:
Tm  0.185  0.000  0.000
Tm  0.310  0.000  0.666
Mn  0.000  0.000  0.504
Mn  0.000  0.228  0.751
Mn  0.500  0.000  0.162
Re  0.232  0.000  0.329
Re  0.500  0.246  0.915

Total moment: 1.1 Bohr magnetons per cell
E: -211.92 eV for the cell shown
Formation energy from the elements: -0.134 eV per atom
DOS(E_F): 2.8 states/eV/f.u.
Crystal system: orthorhombic

***

[14]
Compound: TmMn2Re
Source: Alexandria via LeMat-Bulk
Functional: GGA-PBE
Structure: optimized geometry

Lattice parameters (Å, degrees): 2.922 5.617 8.238 104.02 93.65 96.44
Space group P-1 (No. 2)
Inequivalent atoms, fractional coordinates:
Tm  0.148  0.158  0.202
Mn  0.321  0.654  0.046
Mn  0.500  0.000  0.500
Mn  0.500  0.500  0.500
Re  0.134  0.331  0.708

Total moment: 4.9 Bohr magnetons per cell
E: -68.58 eV for the cell shown
Formation energy from the elements: 0.242 eV per atom
DOS(E_F): 4.3 states/eV/f.u.
Crystal system: triclinic

***

[15]
Compound: TmMn9Re2
Source: Alexandria via LeMat-Bulk
Functional: GGA-PBE
Structure: optimized geometry

Lattice parameters (Å, degrees): 4.7362 4.7362 23.3462 90.00 90.00 120.00
Space group R-3m (No. 166, hexagonal axes)
Inequivalent atoms, fractional coordinates:
Tm  0.0000  0.0000  0.0000
Mn  0.0000  0.0000  0.3394
Mn  0.0000  0.0000  0.5000
Mn  0.0136  0.5068  0.9134
Re  0.0000  0.0000  0.1413

Total moment: 0.1 Bohr magnetons per cell
E: -335.53 eV for the cell shown
Formation energy from the elements: 0.004 eV per atom
DOS(E_F): 12.8 states/eV/f.u.
Crystal system: trigonal

***

[16]
Compound: Tm2Mn9Re3
Source: Alexandria via LeMat-Bulk
Functional: GGA-PBE
Structure: optimized geometry

Lattice parameters (Å, degrees): 12.578 7.505 8.533 90.00 90.00 90.00
Space group Cmcm (No. 63)
Inequivalent atoms, fractional coordinates:
Tm  0.153  0.172  0.250
Mn  0.000  0.164  0.750
Mn  0.000  0.338  0.023
Mn  0.092  0.439  0.750
Mn  0.164  0.174  0.596
Re  0.000  0.000  0.000
Re  0.185  0.500  0.000

Total moment: 35.1 Bohr magnetons per cell
E: -513.53 eV for the cell shown
Formation energy from the elements: 0.031 eV per atom
DOS(E_F): 14.6 states/eV/f.u.
Crystal system: orthorhombic

***

[17]
Compound: U6MnRe2
Source: Alexandria via LeMat-Bulk
Functional: GGA-PBE
Structure: optimized geometry

Lattice parameters (Å, degrees): 10.853 6.052 5.264 90.00 100.68 90.00
Space group C2/m (No. 12)
Inequivalent atoms, fractional coordinates:
U  0.116  0.246  0.189
U  0.187  0.000  0.811
Mn  0.000  0.000  0.500
Re  0.118  0.500  0.644

Total moment: 0.0 Bohr magnetons per cell
E: -199.62 eV for the cell shown
Formation energy from the elements: 0.220 eV per atom
DOS(E_F): 16.7 states/eV/f.u.
Crystal system: monoclinic

***

[18]
Compound: MnV3Re
Source: Alexandria via LeMat-Bulk
Functional: GGA-PBE
Structure: optimized geometry

Lattice parameters (Å, degrees): 4.2247 4.2247 25.4782 90.00 90.00 120.00
Space group R-3m (No. 166, hexagonal axes)
Inequivalent atoms, fractional coordinates:
Mn  0.0000  0.0000  0.1512
V  0.0000  0.0000  0.0543
V  0.0000  0.0000  0.2460
V  0.0000  0.0000  0.4520
Re  0.0000  0.0000  0.3514

Total moment: 0.0 Bohr magnetons per cell
E: -300.05 eV for the cell shown
Formation energy from the elements: -0.207 eV per atom
DOS(E_F): 3.6 states/eV/f.u.
Crystal system: trigonal

***

[19]
Compound: Mn2VRe2
Source: Alexandria via LeMat-Bulk
Functional: GGA-PBE
Structure: optimized geometry

Lattice parameters (Å, degrees): 6.994 6.994 2.761 90.00 90.00 90.00
Space group P4/mbm (No. 127)
Inequivalent atoms, fractional coordinates:
Mn  0.132  0.368  0.000
V  0.000  0.000  0.000
Re  0.168  0.668  0.500

Total moment: 0.0 Bohr magnetons per cell
E: -103.05 eV for the cell shown
Formation energy from the elements: 0.165 eV per atom
DOS(E_F): 6.0 states/eV/f.u.
Crystal system: tetragonal

***

[20]
Compound: MnV2Re
Source: Alexandria via LeMat-Bulk
Functional: GGA-PBE
Structure: optimized geometry

Lattice parameters (Å, degrees): 4.212 2.976 8.333 90.00 90.00 90.00
Space group Pmma (No. 51)
Inequivalent atoms, fractional coordinates:
Mn  0.250  0.000  0.121
V  0.250  0.500  0.367
V  0.250  0.500  0.884
Re  0.250  0.000  0.630

Total moment: 0.0 Bohr magnetons per cell
E: -81.97 eV for the cell shown
Formation energy from the elements: -0.282 eV per atom
DOS(E_F): 2.1 states/eV/f.u.
Crystal system: orthorhombic

***

[21]
Compound: Mn5V6Re
Source: Alexandria via LeMat-Bulk
Functional: GGA-PBE
Structure: optimized geometry

Lattice parameters (Å, degrees): 4.122 5.821 12.291 90.00 90.00 90.00
Space group Immm (No. 71)
Inequivalent atoms, fractional coordinates:
Mn  0.000  0.000  0.000
Mn  0.000  0.000  0.331
Mn  0.000  0.500  0.333
V  0.000  0.246  0.169
V  0.000  0.257  0.500
Re  0.000  0.500  0.000

Total moment: 0.0 Bohr magnetons per cell
E: -232.48 eV for the cell shown
Formation energy from the elements: -0.269 eV per atom
DOS(E_F): 5.5 states/eV/f.u.
Crystal system: orthorhombic

***

[22]
Compound: MnVRe2
Source: Alexandria via LeMat-Bulk
Functional: GGA-PBE
Structure: optimized geometry

Lattice parameters (Å, degrees): 6.829 6.829 5.071 90.00 90.00 90.00
Space group I-42d (No. 122)
Inequivalent atoms, fractional coordinates:
Mn  0.000  0.000  0.000
V  0.000  0.000  0.500
Re  0.228  0.250  0.125

Total moment: 0.0 Bohr magnetons per cell
E: -161.73 eV for the cell shown
Formation energy from the elements: 0.688 eV per atom
DOS(E_F): 4.6 states/eV/f.u.
Crystal system: tetragonal

***

[23]
Compound: Mn2V2Re
Source: Alexandria via LeMat-Bulk
Functional: GGA-PBE
Structure: optimized geometry

Lattice parameters (Å, degrees): 6.793 6.793 2.784 90.00 90.00 90.00
Space group P4/mbm (No. 127)
Inequivalent atoms, fractional coordinates:
Mn  0.138  0.362  0.000
V  0.163  0.663  0.500
Re  0.000  0.000  0.000

Total moment: 2.3 Bohr magnetons per cell
E: -96.70 eV for the cell shown
Formation energy from the elements: 0.135 eV per atom
DOS(E_F): 6.0 states/eV/f.u.
Crystal system: tetragonal

***

[24]
Compound: MnV2Re
Source: Alexandria via LeMat-Bulk
Functional: GGA-PBE
Structure: optimized geometry

Lattice parameters (Å, degrees): 2.646 4.478 9.354 90.00 90.00 90.00
Space group Immm (No. 71)
Inequivalent atoms, fractional coordinates:
Mn  0.000  0.000  0.000
V  0.000  0.000  0.231
Re  0.000  0.000  0.500

Total moment: 0.0 Bohr magnetons per cell
E: -75.52 eV for the cell shown
Formation energy from the elements: 0.524 eV per atom
DOS(E_F): 5.2 states/eV/f.u.
Crystal system: orthorhombic